{"formula": "CeTlP4O12", "functional": "meta-GGA SCAN", "state": "single point on PBEsol structure", "e_tot_ev_per_atom": -15.54, "rho_kg_m3": 4313, "formation_energy_uncorrected_ev_per_atom": -2.5771, "total_magnetization_mub_per_cell": 4.00, "lattice": [[9.135, 0.000, 0.000], [0.000, 10.543, 0.026], [0.000, -3.040, 10.552]], "species": ["P", "O", "P", "O", "O", "O", "O", "O", "O", "P", "O", "O", "O", "O", "P", "O", "Tl", "O", "O", "O", "O", "O", "O", "Tl", "P", "O", "P", "O", "O", "O", "P", "O", "O", "O", "P", "Tl", "O", "O", "P", "O", "O", "P", "O", "O", "P", "O", "O", "P", "O", "Ce", "Ce", "O", "O", "P", "O", "O", "O", "O", "O", "O", "P", "P", "O", "Ce", "O", "Ce", "Tl", "P", "O", "O", "O", "O"], "fractional_positions": [[0.098, 0.645, 0.761], [0.155, 0.183, 0.984], [0.327, 0.460, 0.643], [0.743, 0.566, 0.485], [0.207, 0.522, 0.751], [0.054, 0.671, 0.906], [0.040, 0.356, 0.895], [0.589, 0.827, 0.189], [0.345, 0.318, 0.670], [0.101, 0.322, 0.021], [0.589, 0.352, 0.786], [0.411, 0.173, 0.811], [0.293, 0.022, 0.251], [0.800, 0.570, 0.908], [0.601, 0.178, 0.479], [0.960, 0.644, 0.105], [0.932, 0.783, 0.541], [0.345, 0.683, 0.484], [0.685, 0.740, 0.755], [0.707, 0.978, 0.749], [0.540, 0.144, 0.605], [0.757, 0.066, 0.985], [0.700, 0.070, 0.408], [0.568, 0.283, 0.041], [0.173, 0.960, 0.143], [0.655, 0.682, 0.330], [0.399, 0.822, 0.521], [0.035, 0.039, 0.174], [0.257, 0.434, 0.515], [0.155, 0.818, 0.170], [0.899, 0.678, 0.979], [0.911, 0.852, 0.286], [0.089, 0.148, 0.714], [0.185, 0.760, 0.745], [0.402, 0.145, 0.261], [0.432, 0.717, 0.959], [0.446, 0.171, 0.406], [0.554, 0.829, 0.594], [0.477, 0.250, 0.728], [0.911, 0.327, 0.689], [0.946, 0.329, 0.094], [0.023, 0.750, 0.228], [0.845, 0.182, 0.830], [0.793, 0.478, 0.249], [0.902, 0.355, 0.239], [0.032, 0.398, 0.324], [0.200, 0.430, 0.092], [0.523, 0.750, 0.272], [0.315, 0.260, 0.245], [0.773, 0.000, 0.186], [0.273, 0.500, 0.314], [0.089, 0.673, 0.311], [0.965, 0.961, 0.826], [0.673, 0.540, 0.357], [0.535, 0.461, 0.326], [0.468, 0.898, 0.824], [0.460, 0.856, 0.395], [0.968, 0.602, 0.676], [0.532, 0.102, 0.176], [0.815, 0.240, 0.255], [0.598, 0.855, 0.739], [0.977, 0.250, 0.772], [0.845, 0.817, 0.016], [0.227, 0.000, 0.814], [0.300, 0.930, 0.592], [0.727, 0.500, 0.686], [0.068, 0.217, 0.459], [0.827, 0.040, 0.857], [0.411, 0.648, 0.214], [0.465, 0.539, 0.674], [0.655, 0.317, 0.516], [0.243, 0.934, 0.015]]}


{"formula": "CeZnPO", "functional": "meta-GGA SCAN", "state": "single point on PBEsol structure", "e_tot_ev_per_atom": -20.68, "rho_kg_m3": 6183, "formation_energy_uncorrected_ev_per_atom": -2.0028, "total_magnetization_mub_per_cell": 2.00, "lattice": [[3.930, 0.000, 0.000], [1.965, 3.403, 0.000], [1.965, 1.134, 10.141]], "species": ["P", "Zn", "P", "Zn", "O", "Ce", "O", "Ce"], "fractional_positions": [[0.114, 0.114, 0.659], [0.196, 0.196, 0.412], [0.886, 0.886, 0.341], [0.804, 0.804, 0.588], [0.305, 0.305, 0.085], [0.381, 0.381, 0.856], [0.695, 0.695, 0.915], [0.619, 0.619, 0.144]]}